# 1
The following is a DFT calculation (PBE) of HoTeF after structural relaxation.

```
data_HoTeF
_chemical_formula_sum 'Ho2 Te2 F2'
_cell_length_a 4.3592
_cell_length_b 3.9601
_cell_length_c 7.6149
_cell_angle_alpha 90.00
_cell_angle_beta 96.52
_cell_angle_gamma 90.00
_space_group_name_H-M_alt 'P 1 21/m 1'
_space_group_IT_number 11
_space_group_name_Hall '-P 2yb'
loop_
_atom_site_label
_atom_site_type_symbol
_atom_site_fract_x
_atom_site_fract_y
_atom_site_fract_z
_atom_site_occupancy
Ho1 Ho 0.1848 0.2500 0.2106 1
Te1 Te 0.2808 0.2500 0.6448 1
F1 F 0.1910 0.7500 0.0271 1
```

Summary:
DFT total energy: -34.2 eV per cell
energy relative to the elements, uncorrected: -7.5 eV/f.u.
distance to the lowest polymorph of the same formula: 83 meV/atom

=====

# 2
The following is a DFT calculation (PBE) of MgCu2Ge after structural relaxation.

```
data_MgCu2Ge
_chemical_formula_sum 'Mg4 Cu8 Ge4'
_cell_length_a 4.0111
_cell_length_b 4.0111
_cell_length_c 16.9982
_cell_angle_alpha 90.00
_cell_angle_beta 90.00
_cell_angle_gamma 90.00
_space_group_name_H-M_alt 'I -4 2 d'
_space_group_IT_number 122
_space_group_name_Hall 'I -4 2bw'
loop_
_atom_site_label
_atom_site_type_symbol
_atom_site_fract_x
_atom_site_fract_y
_atom_site_fract_z
_atom_site_occupancy
Mg1 Mg 0.0000 0.0000 0.0000 1
Cu1 Cu 0.1916 0.2500 0.6250 1
Ge1 Ge 0.0000 0.0000 0.5000 1
```

Summary:
DFT total energy: -55.0 eV per cell
formation energy: 0.162 eV/atom

=====

# 3
The following is a DFT calculation (PBE) of Zr3TcI after structural relaxation.

```
data_Zr3TcI
_chemical_formula_sum 'Zr3 Tc1 I1'
_cell_length_a 5.1055
_cell_length_b 5.1055
_cell_length_c 5.1055
_cell_angle_alpha 90.00
_cell_angle_beta 90.00
_cell_angle_gamma 90.00
_space_group_name_H-M_alt 'P m -3 m'
_space_group_IT_number 221
_space_group_name_Hall '-P 4 2 3'
loop_
_atom_site_label
_atom_site_type_symbol
_atom_site_fract_x
_atom_site_fract_y
_atom_site_fract_z
_atom_site_occupancy
Zr1 Zr 0.0000 0.0000 0.5000 1
Tc1 Tc 0.0000 0.0000 0.0000 1
I1 I 0.5000 0.5000 0.5000 1
```

Summary:
DFT total energy: -35.5 eV per cell
energy relative to the elements, uncorrected: 2.1 eV/f.u.
distance to the lowest polymorph of the same formula: 0 meV/atom

=====

# 4
The following is a DFT calculation (PBE) of MnAgI3 after structural relaxation.

```
data_MnAgI3
_chemical_formula_sum 'Mn4 Ag4 I12'
_cell_length_a 7.8847
_cell_length_b 8.0635
_cell_length_c 14.5136
_cell_angle_alpha 90.00
_cell_angle_beta 122.42
_cell_angle_gamma 90.00
_space_group_name_H-M_alt 'P 1 21/c 1'
_space_group_IT_number 14
_space_group_name_Hall '-P 2ybc'
loop_
_atom_site_label
_atom_site_type_symbol
_atom_site_fract_x
_atom_site_fract_y
_atom_site_fract_z
_atom_site_occupancy
Mn1 Mn 0.0766 0.2408 0.4918 1
Ag1 Ag 0.2787 0.5453 0.8547 1
I1 I 0.0991 0.0498 0.6552 1
I2 I 0.2272 0.5485 0.6474 1
I3 I 0.4134 0.2408 0.9840 1
```

Summary:
DFT total energy: -73.4 eV per cell
energy relative to the elements, uncorrected: -1.7 eV/f.u.
distance to the lowest polymorph of the same formula: 0 meV/atom

=====

# 5
The following is a DFT calculation (PBE) of CaPb2 after structural relaxation.

```
data_CaPb2
_chemical_formula_sum 'Ca4 Pb8'
_cell_length_a 4.4107
_cell_length_b 4.4107
_cell_length_c 20.9592
_cell_angle_alpha 90.00
_cell_angle_beta 90.00
_cell_angle_gamma 90.00
_space_group_name_H-M_alt 'I 41/a m d'
_space_group_IT_number 141
loop_
_space_group_symop_operation_xyz
'x,y,z'
'-x,-y,-z'
'-y+1/4,x+3/4,z+1/4'
'y+1/4,-x+3/4,-z+1/4'
'-x+1/2,-y,z+1/2'
'x+1/2,y,-z+1/2'
'y+1/4,-x+1/4,z+3/4'
'-y+1/4,x+1/4,-z+3/4'
'x,-y,-z'
'-x,y,z'
'-y+1/4,-x+1/4,-z+3/4'
'y+1/4,x+1/4,z+3/4'
'-x+1/2,y,-z+1/2'
'x+1/2,-y,z+1/2'
'y+1/4,x+3/4,-z+1/4'
'-y+1/4,-x+3/4,z+1/4'
'x+1/2,y+1/2,z+1/2'
'-x+1/2,-y+1/2,-z+1/2'
'-y+3/4,x+1/4,z+3/4'
'y+3/4,-x+1/4,-z+3/4'
'-x,-y+1/2,z'
'x,y+1/2,-z'
'y+3/4,-x+3/4,z+1/4'
'-y+3/4,x+3/4,-z+1/4'
'x+1/2,-y+1/2,-z+1/2'
'-x+1/2,y+1/2,z+1/2'
'-y+3/4,-x+3/4,-z+1/4'
'y+3/4,x+3/4,z+1/4'
'-x,y+1/2,-z'
'x,-y+1/2,z'
'y+3/4,x+1/4,-z+3/4'
'-y+3/4,-x+1/4,z+3/4'
loop_
_atom_site_label
_atom_site_type_symbol
_atom_site_fract_x
_atom_site_fract_y
_atom_site_fract_z
_atom_site_occupancy
Ca1 Ca 0.0000 0.2500 0.3750 1
Pb1 Pb 0.0000 0.2500 0.7999 1
```

Summary:
DFT total energy: -40.0 eV per cell
formation energy: -0.195 eV/atom

=====

# 6
The following is a DFT calculation (PBE) of BaGa2RhPb after structural relaxation.

```
data_BaGa2RhPb
_chemical_formula_sum 'Ba1 Ga2 Rh1 Pb1'
_cell_length_a 4.9266
_cell_length_b 4.9266
_cell_length_c 5.4664
_cell_angle_alpha 90.00
_cell_angle_beta 90.00
_cell_angle_gamma 90.00
_space_group_name_H-M_alt 'P 4/m m m'
_space_group_IT_number 123
_space_group_name_Hall '-P 4 2'
loop_
_atom_site_label
_atom_site_type_symbol
_atom_site_fract_x
_atom_site_fract_y
_atom_site_fract_z
_atom_site_occupancy
Ba1 Ba 0.0000 0.0000 0.0000 1
Ga1 Ga 0.0000 0.5000 0.5000 1
Rh1 Rh 0.5000 0.5000 0.5000 1
Pb1 Pb 0.5000 0.5000 0.0000 1
```

Summary:
DFT total energy: -20.6 eV per cell
formation energy: -0.320 eV/atom

=====

# 7
The following is a DFT calculation (PBE) of YPa4Ge5 after structural relaxation.

```
data_YPa4Ge5
_chemical_formula_sum 'Y2 Pa8 Ge10'
_cell_length_a 4.1492
_cell_length_b 5.8525
_cell_length_c 20.6678
_cell_angle_alpha 90.00
_cell_angle_beta 90.00
_cell_angle_gamma 90.00
_space_group_name_H-M_alt 'I m m m'
_space_group_IT_number 71
_space_group_name_Hall '-I 2 2'
loop_
_atom_site_label
_atom_site_type_symbol
_atom_site_fract_x
_atom_site_fract_y
_atom_site_fract_z
_atom_site_occupancy
Y1 Y 0.0000 0.0000 0.0000 1
Pa1 Pa 0.0000 0.0000 0.1997 1
Pa2 Pa 0.0000 0.0000 0.4006 1
Ge1 Ge 0.0000 0.5000 0.0000 1
Ge2 Ge 0.0000 0.5000 0.1996 1
Ge3 Ge 0.0000 0.5000 0.3979 1
```

Summary:
DFT total energy: -145.4 eV per cell
formation energy: -0.517 eV/atom

=====

# 8
The following is a DFT calculation (PBE) of LiLaZn2 after structural relaxation.

```
data_LiLaZn2
_chemical_formula_sum 'Li4 La4 Zn8'
_cell_length_a 6.8933
_cell_length_b 6.8933
_cell_length_c 6.8933
_cell_angle_alpha 90.00
_cell_angle_beta 90.00
_cell_angle_gamma 90.00
_space_group_name_H-M_alt 'F -4 3 m'
_space_group_IT_number 216
_space_group_name_Hall 'F -4 2 3'
loop_
_atom_site_label
_atom_site_type_symbol
_atom_site_fract_x
_atom_site_fract_y
_atom_site_fract_z
_atom_site_occupancy
Li1 Li 0.0000 0.0000 0.0000 1
La1 La 0.2500 0.2500 0.2500 1
Zn1 Zn 0.0000 0.0000 0.5000 1
Zn2 Zn 0.2500 0.2500 0.7500 1
```

Summary:
DFT total energy: -41.0 eV per cell
formation energy: -0.217 eV/atom

=====

# 9
The following is a DFT calculation (PBE) of AgSn2Ru after structural relaxation.

```
data_AgSn2Ru
_chemical_formula_sum 'Ag4 Sn8 Ru4'
_cell_length_a 6.4938
_cell_length_b 6.4938
_cell_length_c 10.8143
_cell_angle_alpha 90.00
_cell_angle_beta 90.00
_cell_angle_gamma 90.00
_space_group_name_H-M_alt 'I -4 2 d'
_space_group_IT_number 122
_space_group_name_Hall 'I -4 2bw'
loop_
_atom_site_label
_atom_site_type_symbol
_atom_site_fract_x
_atom_site_fract_y
_atom_site_fract_z
_atom_site_occupancy
Ag1 Ag 0.0000 0.0000 0.0000 1
Sn1 Sn 0.2198 0.2500 0.6250 1
Ru1 Ru 0.0000 0.0000 0.5000 1
```

Summary:
DFT total energy: -71.6 eV per cell
formation energy: 0.557 eV/atom
distance to the lowest polymorph of the same formula: 345 meV/atom

=====

# 10
The following is a DFT calculation (PBE) of Co2SbI8 after structural relaxation.

```
data_Co2SbI8
_chemical_formula_sum 'Co4 Sb2 I16'
_cell_length_a 13.5588
_cell_length_b 10.9262
_cell_length_c 7.0616
_cell_angle_alpha 90.00
_cell_angle_beta 96.15
_cell_angle_gamma 90.00
_space_group_name_H-M_alt 'C 1 2/m 1'
_space_group_IT_number 12
_space_group_name_Hall '-C 2y'
loop_
_atom_site_label
_atom_site_type_symbol
_atom_site_fract_x
_atom_site_fract_y
_atom_site_fract_z
_atom_site_occupancy
Co1 Co 0.1945 0.0000 0.1344 1
Sb1 Sb 0.0000 0.0000 0.5000 1
I1 I 0.0996 0.1832 0.2583 1
I2 I 0.1283 0.5000 0.7391 1
I3 I 0.1938 0.0000 0.7721 1
```

Summary:
DFT total energy: -63.8 eV per cell
energy relative to the elements, uncorrected: -1.2 eV/f.u.

=====

# 11
The following is a DFT calculation (PBE) of ZnIn4Hg after structural relaxation.

```
data_ZnIn4Hg
_chemical_formula_sum 'Zn4 In16 Hg4'
_cell_length_a 9.4513
_cell_length_b 11.7326
_cell_length_c 5.6104
_cell_angle_alpha 90.00
_cell_angle_beta 102.17
_cell_angle_gamma 90.00
_space_group_name_H-M_alt 'C 1 2/c 1'
_space_group_IT_number 15
_space_group_name_Hall '-C 2yc'
loop_
_atom_site_label
_atom_site_type_symbol
_atom_site_fract_x
_atom_site_fract_y
_atom_site_fract_z
_atom_site_occupancy
Zn1 Zn 0.0000 0.0087 0.2500 1
In1 In 0.1058 0.2003 0.5541 1
In2 In 0.2299 0.4034 0.9088 1
Hg1 Hg 0.0000 0.4123 0.2500 1
```

Summary:
DFT total energy: -49.1 eV per cell
formation energy: 0.041 eV/atom
distance to the lowest polymorph of the same formula: 0 meV/atom

=====

# 12
The following is a DFT calculation (PBE) of TbPrNd3Dy after structural relaxation.

```
data_TbPrNd3Dy
_chemical_formula_sum 'Tb4 Pr4 Nd12 Dy4'
_cell_length_a 20.6745
_cell_length_b 5.8409
_cell_length_c 6.8625
_cell_angle_alpha 90.00
_cell_angle_beta 90.63
_cell_angle_gamma 90.00
_space_group_name_H-M_alt 'C 1 2/m 1'
_space_group_IT_number 12
_space_group_name_Hall '-C 2y'
loop_
_atom_site_label
_atom_site_type_symbol
_atom_site_fract_x
_atom_site_fract_y
_atom_site_fract_z
_atom_site_occupancy
Tb1 Tb 0.1435 0.0000 0.4744 1
Pr1 Pr 0.1461 0.0000 0.0253 1
Nd1 Nd 0.0181 0.0000 0.7483 1
Nd2 Nd 0.1592 0.5000 0.7486 1
Nd3 Nd 0.2197 0.5000 0.2613 1
Dy1 Dy 0.0582 0.5000 0.2633 1
```

Summary:
DFT total energy: -108.9 eV per cell
formation energy: 0.183 eV/atom

=====

no.,density (g/cm³),volume (A^3/atom)
1,7.922,21.8
2,5.441,17.1
3,6.221,26.6
4,4.635,38.9
5,7.403,34.0
6,7.345,26.5
7,9.107,25.1
8,5.610,20.5
9,6.501,28.5
10,4.007,47.3
11,7.921,25.3
12,7.174,34.5